Computed, not measured: a PBEsol-optimized structure of LaFe2Ni at the meta-GGA SCAN level of DFT.

Cell: 3.0018 3.0018 6.8019 Å, 90.00 90.00 90.00°
With the nearest neighbours (Å) after each atom.
Space group P4mm (No. 99)
Symmetry-distinct sites (fractional):
La1 0.0000 0.0000 0.0000 x1  4 La 3.00, 4 Ni 3.02, 4 Fe 3.05
Fe1 0.0000 0.0000 0.5013 x1  4 Fe 2.44, 4 Ni 2.47
Fe2 0.5000 0.5000 0.6786 x1  4 Fe 2.44, 1 Ni 2.46
Ni1 0.5000 0.5000 0.3162 x1  5 Fe 2.46-2.47

Values from the calculation:
For the uncorrected energy, the calculation gives -23.69 eV/atom. Its calculated formation energy is 0.198 eV per atom.